## Ta2Ga4O (GGA-PBE)

Data for crystalline Ta2Ga4O at its relaxed geometry.

Lattice parameters (Å, degrees): 7.2049 7.2049 7.2049 146.27 146.27 48.45
With the nearest neighbours (Å) after each atom.
Atoms (fractional coordinates):
Ta: 0.1439 0.1439 0.0000  5 Ga 2.62-2.82
Ta: 0.8561 0.8561 0.0000  5 Ga 2.62-2.82
Ga: 0.0000 0.5000 0.5000  2 O 2.09
Ga: 0.3436 0.3436 0.0000  1 O 2.05
Ga: 0.5000 0.0000 0.5000  2 O 2.09
Ga: 0.6564 0.6564 0.0000  1 O 2.05
O: 0.5000 0.5000 0.0000  6 Ga 2.05-2.09

Calculated values
M_tot = 0.00 μB/atom
Crystal system = tetragonal
E_form (uncorrected) = 80 kJ/mol of formula units
Space group = I4/mmm


## Ta2Ga2O (GGA-PBE)

Data for crystalline Ta2Ga2O at its relaxed geometry.

Lattice parameters (Å, degrees): 7.4822 7.4822 7.4822 151.85 151.85 40.23
With the nearest neighbours (Å) after each atom.
Atoms (fractional coordinates):
Ta: 0.2500 0.7500 0.5000  4 Ta 2.57
Ta: 0.7500 0.2500 0.5000  4 Ta 2.57
Ga: 0.0845 0.0845 0.0000  1 Ga 2.38
Ga: 0.9155 0.9155 0.0000  1 Ga 2.38
O: 0.5000 0.5000 0.0000  8 Ga 2.83

Calculated values
M_tot = 0.14 μB/atom
Crystal system = tetragonal
E_form (uncorrected) = 338 kJ/mol of formula units
Energy above the lowest structure with this stoichiometry = 506.7 meV per atom
Space group = I4/mmm


## TaGaO2 (GGA-PBE)

Data for crystalline TaGaO2 at its relaxed geometry.

Lattice parameters (Å, degrees): 6.4539 6.4539 6.4539 130.22 130.22 73.05
With the nearest neighbours (Å) after each atom.
Atoms (fractional coordinates):
Ta: 0.0000 0.0000 0.0000  4 O 1.91
Ta: 0.7500 0.2500 0.5000  4 O 1.91
Ga: 0.2500 0.7500 0.5000  4 O 3.01
Ga: 0.5000 0.5000 0.0000  4 O 3.01
O: 0.3750 0.1930 0.3180  2 Ta 1.91
O: 0.8070 0.1250 0.1820  2 Ta 1.91
O: 0.8750 0.0570 0.6820  2 Ta 1.91
O: 0.9430 0.6250 0.8180  2 Ta 1.91

Calculated values
M_tot = 0.00 μB/atom
Crystal system = tetragonal
E_form (uncorrected) = -548 kJ/mol of formula units
Space group = I-42d


## TaGaTcO2 (GGA-PBE)

Data for crystalline TaGaTcO2 at its relaxed geometry.

Lattice parameters (Å, degrees): 3.8352 3.8352 5.6972 90.00 90.00 90.00
With the nearest neighbours (Å) after each atom.
Atoms (fractional coordinates):
Ta: 0.0000 0.0000 0.0000  4 O 1.92
Ga: 0.5000 0.5000 0.5000  4 Tc 2.71
Tc: 0.0000 0.0000 0.5000  4 Ga 2.71, 2 Ta 2.85
O: 0.0000 0.5000 0.0000  2 Ta 1.92
O: 0.5000 0.0000 0.0000  2 Ta 1.92

Calculated values
M_tot = 0.23 μB/atom
Crystal system = tetragonal
E_form (uncorrected) = -433 kJ/mol of formula units
Space group = P4/mmm


| no. | electronic total energy (eV/atom) | mass density (g cm⁻³) |
| --- | --- | --- |
| 1 | -5.706 | 9.5 |
| 2 | -6.242 | 9.2 |
| 3 | -7.619 | 6.1 |
| 4 | -7.930 | 7.5 |